(1)
The following is a DFT calculation (PBE-GGA) of crystalline NaTl2Hg3 at its relaxed geometry.

a b c (Å): 9.713 11.430 6.228
angles (deg): 90.00 91.61 90.00
Space group C2/c (No. 15)
Inequivalent atoms, fractional coordinates:
Na 0.000 0.096 0.250 (multiplicity 4)
Tl 0.166 0.249 0.740 (multiplicity 8)
Hg 0.000 0.365 0.250 (multiplicity 4)
Hg 0.238 0.493 0.996 (multiplicity 8)

Its energy relative to the elements is -0.068 eV/atom. As for the energy above the most stable polymorph in this dataset: 0.039 eV per atom. The value obtained for the volume is 172.8 Å³/f.u. Its total energy is -1.227 eV per atom.

=====

(2)
The following is a DFT calculation (PBE-GGA) of crystalline NaTlHg2 at its relaxed geometry.

a b c (Å): 3.856 3.856 7.246
angles (deg): 90.00 90.00 90.00
Space group P4/mmm (No. 123)
Inequivalent atoms, fractional coordinates:
Na 0.000 0.000 0.000 (multiplicity 1)
Tl 0.000 0.000 0.500 (multiplicity 1)
Hg 0.500 0.500 0.239 (multiplicity 2)

Its energy relative to the elements is -0.155 eV/atom. The value obtained for the volume is 107.8 Å³/f.u. Its total energy is -1.228 eV per atom.